Entry from the Alexandria database: crystalline Th2Mg3Au4 at its relaxed geometry (GGA-PBE).

Values from the calculation:
energy relative to the elements: -551 meV per atom
density: 11.02 g cm⁻³
SG: Cmce, No. 64
magnetic moment: 0.00 μB/f.u.

Cell and atoms, written as POSCAR:
```
Th2Mg3Au4
1.0
3.081 -8.110 0.000
3.081 8.110 0.000
0.000 0.000 7.987
Th Mg Au
4 6 8
direct
0.107 0.893 0.912
0.393 0.607 0.412
0.607 0.393 0.588
0.893 0.107 0.088
0.000 0.000 0.500
0.029 0.471 0.750
0.471 0.029 0.250
0.500 0.500 0.000
0.529 0.971 0.750
0.971 0.529 0.250
0.178 0.822 0.541
0.199 0.301 0.750
0.301 0.199 0.250
0.322 0.678 0.041
0.678 0.322 0.959
0.699 0.801 0.750
0.801 0.699 0.250
0.822 0.178 0.459
```